1.
DFT (PBEsol) results for CoIr2Br after structural relaxation.

Calculated values
E_form (uncorrected): 0.652 eV per atom

Unit cell a=4.414 b=4.414 c=7.574 alpha=121.57 beta=121.57 gamma=36.80
Positions (direct):
Co1 0.000 0.000 0.000
Ir1 0.606 0.606 0.320
Ir2 0.805 0.805 0.170
Br1 0.334 0.334 0.689

=====

2.
DFT (PBEsol) results for CoIr2Br after structural relaxation.

Calculated values
E_form (uncorrected): 1.007 eV per atom

Unit cell a=4.575 b=4.575 c=4.575 alpha=128.60 beta=128.60 gamma=75.66
Positions (direct):
Co1 0.000 0.000 0.000
Ir1 0.250 0.750 0.500
Ir2 0.750 0.250 0.500
Br1 0.500 0.500 0.000

=====

3.
DFT (PBEsol) results for CoIrBr2 after structural relaxation.

Calculated values
E_form (uncorrected): 0.509 eV per atom

Unit cell a=3.314 b=3.314 c=7.746 alpha=90.00 beta=90.00 gamma=110.75
Positions (direct):
Co1 0.000 0.000 0.000
Ir1 0.500 0.500 0.167
Br1 0.000 0.000 0.397
Br2 0.500 0.500 0.800

=====

4.
DFT (PBEsol) results for Co2IrBr after structural relaxation.

Calculated values
E_form (uncorrected): 0.910 eV per atom

Unit cell a=4.657 b=4.657 c=4.657 alpha=132.50 beta=132.50 gamma=69.43
Positions (direct):
Co1 0.000 0.000 0.000
Co2 0.750 0.250 0.500
Ir1 0.500 0.500 0.000
Br1 0.250 0.750 0.500

=====

5.
DFT (PBEsol) results for Co3IrBr after structural relaxation.

Calculated values
E_form (uncorrected): 1.426 eV per atom

Unit cell a=4.191 b=4.191 c=4.191 alpha=90.00 beta=90.00 gamma=90.00
Positions (direct):
Co1 0.000 0.000 0.500
Co2 0.000 0.500 0.000
Co3 0.500 0.000 0.000
Ir1 0.500 0.500 0.500
Br1 0.000 0.000 0.000

=====

6.
DFT (PBEsol) results for CoIr2Br after structural relaxation.

Calculated values
E_form (uncorrected): 0.643 eV per atom

Unit cell a=2.790 b=2.790 c=7.522 alpha=90.00 beta=90.00 gamma=90.00
Positions (direct):
Co1 0.000 0.000 0.000
Ir1 0.000 0.000 0.463
Ir2 0.500 0.500 0.226
Br1 0.500 0.500 0.770

=====

7.
DFT (PBEsol) results for CoIr2Br after structural relaxation.

Calculated values
E_form (uncorrected): 0.927 eV per atom

Unit cell a=5.242 b=5.242 c=5.242 alpha=149.40 beta=128.12 gamma=61.44
Positions (direct):
Co1 0.000 0.000 0.000
Ir1 0.243 0.743 0.500
Ir2 0.502 0.502 0.000
Br1 0.760 0.260 0.500

=====

8.
DFT (PBEsol) results for CoIrBr2 after structural relaxation.

Calculated values
E_form (uncorrected): 0.646 eV per atom

Unit cell a=7.907 b=7.907 c=7.907 alpha=23.93 beta=23.93 gamma=23.93
Positions (direct):
Co1 0.000 0.000 0.000
Ir1 0.500 0.500 0.500
Br1 0.397 0.397 0.397
Br2 0.603 0.603 0.603

=====

9.
DFT (PBEsol) results for Co2IrBr after structural relaxation.

Calculated values
E_form (uncorrected): 0.899 eV per atom

Unit cell a=4.436 b=4.436 c=4.436 alpha=127.11 beta=127.11 gamma=78.07
Positions (direct):
Co1 0.250 0.750 0.500
Co2 0.750 0.250 0.500
Ir1 0.000 0.000 0.000
Br1 0.500 0.500 0.000

=====

10.
DFT (PBEsol) results for KCoBr2 after structural relaxation.

Calculated values
E_form (uncorrected): -0.416 eV per atom

Unit cell a=3.729 b=3.729 c=7.580 alpha=90.00 beta=90.00 gamma=90.00
Positions (direct):
K1 0.000 0.000 0.000
Co1 0.500 0.500 0.522
Br1 0.000 0.000 0.585
Br2 0.500 0.500 0.205

=====

11.
DFT (PBEsol) results for KCoBr3 after structural relaxation.

Calculated values
E_form (uncorrected): 0.587 eV per atom

Unit cell a=5.753 b=5.753 c=5.753 alpha=90.00 beta=90.00 gamma=90.00
Positions (direct):
K1 0.000 0.000 0.000
Co1 0.500 0.500 0.500
Br1 0.000 0.000 0.500
Br2 0.000 0.500 0.000
Br3 0.500 0.000 0.000

=====

12.
DFT (PBEsol) results for KCoBr2 after structural relaxation.

Calculated values
E_form (uncorrected): -0.192 eV per atom

Unit cell a=5.094 b=5.094 c=3.487 alpha=90.00 beta=90.00 gamma=90.00
Positions (direct):
K1 0.000 0.000 0.000
Co1 0.500 0.500 0.000
Br1 0.000 0.500 0.500
Br2 0.500 0.000 0.500